Density functional theory data (PBE) for crystalline CrInCl4 at its relaxed geometry.

## Properties
symmetry	Cccm (66)
total moment	6.00	μB/cell
ΔE to the lowest computed polymorph	32	meV/atom
VASP energy	-4.2698	eV per atom
ρ	2.3	g cm⁻³

Cell lengths 8.0702, 8.0702, 7.1288 Å; angles 90.00, 90.00, 108.60 degrees
With the nearest neighbours (Å) after each atom.
Fractional positions:
Cr 0.0000 0.0000 0.2500  6 Cl 2.33-2.40
Cr 0.0000 0.0000 0.7500  6 Cl 2.33-2.40
In 0.0000 0.5000 0.0000  6 Cl 3.10-3.37
In 0.5000 0.0000 0.5000  6 Cl 3.10-3.37
Cl 0.1705 0.1722 0.5000  2 Cr 2.40
Cl 0.1722 0.1705 0.0000  2 Cr 2.40
Cl 0.1774 0.8226 0.2500  1 Cr 2.33
Cl 0.1774 0.8226 0.7500  1 Cr 2.33
Cl 0.8226 0.1774 0.2500  1 Cr 2.33
Cl 0.8226 0.1774 0.7500  1 Cr 2.33
Cl 0.8278 0.8295 0.0000  2 Cr 2.40
Cl 0.8295 0.8278 0.5000  2 Cr 2.40